DFT (PBE+U) results for a geometry-optimized NiSn2F structure.

Lattice parameters (Å, degrees): 4.547 4.547 4.547 60.00 60.00 60.00
Sites, in units of the cell vectors:
Ni (0.000, 0.000, 0.000)
Sn (0.250, 0.250, 0.250)
Sn (0.750, 0.750, 0.750)
F (0.500, 0.500, 0.500)

Computed properties:
Energy = -3.402 eV per atom
DOS(E_F) = 1.9 states/eV/f.u.
SG = Fm-3m, No. 225
Energy above the lowest structure with this stoichiometry = 0.0 meV per atom